This record from Alexandria describes a relaxed structure of K5Hg2Te4. The functional is PBE.

## Properties
ρ (g/cm³): 4.1
Formation energy (no corrections) (eV/atom): -0.71
Uncorrected energy (eV/atom): -2.4060

Cell lengths 5.3570, 9.2762, 9.4987 Å; angles 93.59, 106.38, 90.01 degrees
Sites, in units of the cell vectors:
K: 0.0000 0.0000 0.0000
K: 0.3409 0.0272 0.6813
K: 0.3420 0.4959 0.6834
K: 0.6580 0.5041 0.3166
K: 0.6591 0.9728 0.3187
Hg: 0.0401 0.6385 0.0809
Hg: 0.9599 0.3615 0.9191
Te: 0.1931 0.7444 0.3867
Te: 0.4829 0.7594 0.9661
Te: 0.5171 0.2406 0.0339
Te: 0.8069 0.2556 0.6133

***

This record from Alexandria describes a relaxed structure of KHg2Te. The functional is PBE.

## Properties
ρ (g/cm³): 7.3
Formation energy (no corrections) (eV/atom): -0.31
Uncorrected energy (eV/atom): -1.5193

Cell lengths 3.4529, 5.4037, 6.9471 Å; angles 90.00, 95.48, 90.00 degrees
Sites, in units of the cell vectors:
K: 0.0000 0.0000 0.0000
Hg: 0.0519 0.0000 0.5123
Hg: 0.5136 0.5000 0.6763
Te: 0.5419 0.5000 0.2084

***

This record from Alexandria describes a relaxed structure of K6Hg23Te. The functional is PBE.

## Properties
ρ (g/cm³): 8.9
Formation energy (no corrections) (eV/atom): -0.24
Uncorrected energy (eV/atom): -0.7946

Cell lengths 10.9304, 10.9304, 10.9304 Å; angles 60.00, 60.00, 60.00 degrees
Sites, in units of the cell vectors:
K: 0.2170 0.2170 0.7830
K: 0.2170 0.7830 0.2170
K: 0.2170 0.7830 0.7830
K: 0.7830 0.2170 0.2170
K: 0.7830 0.2170 0.7830
K: 0.7830 0.7830 0.2170
Hg: 0.0000 0.0000 0.5000
Hg: 0.0000 0.5000 0.0000
Hg: 0.0000 0.5000 0.5000
Hg: 0.1447 0.6184 0.6184
Hg: 0.1678 0.1678 0.1678
Hg: 0.1678 0.1678 0.4966
Hg: 0.1678 0.4966 0.1678
Hg: 0.3816 0.3816 0.3816
Hg: 0.3816 0.3816 0.8553
Hg: 0.3816 0.8553 0.3816
Hg: 0.4966 0.1678 0.1678
Hg: 0.5000 0.0000 0.0000
Hg: 0.5000 0.0000 0.5000
Hg: 0.5000 0.5000 0.0000
Hg: 0.5000 0.5000 0.5000
Hg: 0.5034 0.8322 0.8322
Hg: 0.6184 0.1447 0.6184
Hg: 0.6184 0.6184 0.1447
Hg: 0.6184 0.6184 0.6184
Hg: 0.8322 0.5034 0.8322
Hg: 0.8322 0.8322 0.5034
Hg: 0.8322 0.8322 0.8322
Hg: 0.8553 0.3816 0.3816
Te: 0.0000 0.0000 0.0000

***

This record from Alexandria describes a relaxed structure of KHg2Te. The functional is PBE.

## Properties
ρ (g/cm³): 7.3
Formation energy (no corrections) (eV/atom): -0.32
Uncorrected energy (eV/atom): -1.5278

Cell lengths 3.3979, 5.3711, 7.0568 Å; angles 90.00, 90.00, 90.00 degrees
Sites, in units of the cell vectors:
K: 0.0000 0.0000 0.0000
Hg: 0.0000 0.0000 0.5127
Hg: 0.5000 0.5000 0.6804
Te: 0.5000 0.5000 0.2122

***

This record from Alexandria describes a relaxed structure of KHg2Te. The functional is PBE.

## Properties
ρ (g/cm³): 7.5
Formation energy (no corrections) (eV/atom): -0.32
Uncorrected energy (eV/atom): -1.5281

Cell lengths 3.3730, 5.9905, 6.2619 Å; angles 90.00, 91.51, 90.00 degrees
Sites, in units of the cell vectors:
K: 0.0000 0.0000 0.0000
Hg: 0.3898 0.5000 0.7502
Hg: 0.6102 0.5000 0.2498
Te: 0.5000 0.0000 0.5000

***

This record from Alexandria describes a relaxed structure of KHg2Te2. The functional is PBE.

## Properties
ρ (g/cm³): 7.0
Formation energy (no corrections) (eV/atom): -0.28
Uncorrected energy (eV/atom): -1.8792

Cell lengths 9.2597, 9.2597, 3.8711 Å; angles 90.00, 90.00, 90.00 degrees
Sites, in units of the cell vectors:
K: 0.0000 0.0000 0.0000
K: 0.5000 0.5000 0.0000
Hg: 0.1038 0.3962 0.0000
Hg: 0.3962 0.8962 0.0000
Hg: 0.6038 0.1038 0.0000
Hg: 0.8962 0.6038 0.0000
Te: 0.2306 0.7306 0.5000
Te: 0.2694 0.2306 0.5000
Te: 0.7306 0.7694 0.5000
Te: 0.7694 0.2694 0.5000

***

> What is the formula in the first record?

K5Hg2Te4

***

> What is the ρ in the first record?

4.1 g/cm³

***

Repeat the first record exactly.
This record from Alexandria describes a relaxed structure of K5Hg2Te4. The functional is PBE.

## Properties
ρ (g/cm³): 4.1
Formation energy (no corrections) (eV/atom): -0.71
Uncorrected energy (eV/atom): -2.4060

Cell lengths 5.3570, 9.2762, 9.4987 Å; angles 93.59, 106.38, 90.01 degrees
Sites, in units of the cell vectors:
K: 0.0000 0.0000 0.0000
K: 0.3409 0.0272 0.6813
K: 0.3420 0.4959 0.6834
K: 0.6580 0.5041 0.3166
K: 0.6591 0.9728 0.3187
Hg: 0.0401 0.6385 0.0809
Hg: 0.9599 0.3615 0.9191
Te: 0.1931 0.7444 0.3867
Te: 0.4829 0.7594 0.9661
Te: 0.5171 0.2406 0.0339
Te: 0.8069 0.2556 0.6133

***

> Which of these has the lowest ρ?

K5Hg2Te4